(1)
DFT (GGA-PBE) results for an optimized crystal structure of In4MoAu.

a = 5.7979 Å, b = 5.7979 Å, c = 5.7979 Å
α = 60.00°, β = 60.00°, γ = 60.00°
Site moments in Bohr magnetons follow the coordinates.
Fractional positions:
In: 0.8745 0.3752 0.3752  -0.04
In: 0.3752 0.3752 0.8745  -0.04
In: 0.3752 0.8745 0.3752  -0.04
In: 0.3752 0.3752 0.3752  -0.04
Mo: 0.7500 0.7500 0.7500  2.15
Au: 0.0000 0.0000 0.0000  0.03

ΔH_f (0 K) = 718 meV per atom

(2)
DFT (GGA-PBE) results for an optimized crystal structure of BeRuAu.

a = 2.7640 Å, b = 2.7640 Å, c = 6.2269 Å
α = 90.00°, β = 90.00°, γ = 120.00°
Fractional positions:
Ru: 0.3333 0.6667 0.6269
Au: 0.0000 0.0000 0.0268
Be: 0.6667 0.3333 0.3463

ΔH_f (0 K) = 128 meV per atom